Entry 1:
## Er3Mo (PBE-GGA)

Data for a relaxed Er3Mo crystal.

a b c (Å): 3.926 5.555 5.861
angles (deg): 118.29 109.57 90.00
Sites, in units of the cell vectors:
Mo (0.000, 0.002, 0.000)
Er (0.289, 0.673, 0.577)
Er (0.500, 0.397, 0.000)
Er (0.711, 0.095, 0.423)

Output
The formation enthalpy at 0 K comes out at 6.11 kcal/mol of atoms. Its total energy is -23.46 eV per cell. As for the space group: Imm2 (44).

Entry 2:
## ErMo2 (PBE-GGA)

Data for a relaxed ErMo2 crystal.

a b c (Å): 3.275 3.275 5.864
angles (deg): 106.21 106.21 90.00
Sites, in units of the cell vectors:
Mo (0.690, 0.690, 0.379)
Mo (0.310, 0.310, 0.621)
Er (0.000, 0.000, 0.000)

Output
The formation enthalpy at 0 K comes out at 3.00 kcal/mol of atoms. Its total energy is -25.84 eV per cell. As for the space group: I4/mmm (139).

Entry 3:
## Er4Mo (PBE-GGA)

Data for a relaxed Er4Mo crystal.

a b c (Å): 5.361 5.361 5.361
angles (deg): 90.00 90.00 90.00
Sites, in units of the cell vectors:
Mo (0.500, 0.500, 0.500)
Er (0.000, 0.000, 0.000)
Er (0.500, 0.000, 0.500)
Er (0.000, 0.500, 0.500)
Er (0.500, 0.500, 0.000)

Output
The formation enthalpy at 0 K comes out at 8.96 kcal/mol of atoms. Its total energy is -27.14 eV per cell. As for the space group: Pm-3m (221).

Entry 4:
## ErMoN2 (PBE-GGA)

Data for a relaxed ErMoN2 crystal.

a b c (Å): 3.056 3.056 6.076
angles (deg): 75.43 75.43 60.00
Sites, in units of the cell vectors:
Er (0.669, 0.669, 0.994)
Mo (0.498, 0.498, 0.506)
N (0.094, 0.094, 0.719)
N (0.240, 0.240, 0.281)

Output
Its total energy is -35.36 eV per cell. As for the uncorrected formation energy: -0.829 eV per atom. As for the space group: R3m (160).

Entry 5:
## ErMoN2 (PBE-GGA)

Data for a relaxed ErMoN2 crystal.

a b c (Å): 3.182 5.674 10.555
angles (deg): 90.00 90.00 90.00
Sites, in units of the cell vectors:
Er (0.750, 0.078, 0.146)
Er (0.250, 0.922, 0.854)
Er (0.750, 0.578, 0.354)
Er (0.250, 0.422, 0.646)
Mo (0.250, 0.567, 0.094)
Mo (0.250, 0.067, 0.406)
Mo (0.750, 0.433, 0.906)
Mo (0.750, 0.933, 0.594)
N (0.750, 0.262, 0.494)
N (0.250, 0.738, 0.506)
N (0.750, 0.762, 0.006)
N (0.250, 0.238, 0.994)
N (0.750, 0.165, 0.751)
N (0.250, 0.335, 0.251)
N (0.750, 0.665, 0.749)
N (0.250, 0.835, 0.249)

Output
Its total energy is -146.96 eV per cell. As for the uncorrected formation energy: -1.174 eV per atom. As for the space group: Pnma (62).

Entry 6:
## ErMo2N (PBE-GGA)

Data for a relaxed ErMo2N crystal.

a b c (Å): 3.297 3.297 7.892
angles (deg): 77.95 77.95 60.00
Sites, in units of the cell vectors:
Mo (0.126, 0.126, 0.621)
Mo (0.874, 0.874, 0.379)
N (0.500, 0.500, 0.500)
Er (0.000, 0.000, 0.000)

Output
Its total energy is -33.30 eV per cell. As for the uncorrected formation energy: 0.314 eV per atom. As for the space group: R-3m (166).

Entry 7:
## NdEr2MoN4 (PBE-GGA)

Data for a relaxed NdEr2MoN4 crystal.

a b c (Å): 3.419 6.121 11.768
angles (deg): 90.00 90.00 106.22
Sites, in units of the cell vectors:
Nd (0.097, 0.195, 0.750)
Nd (0.903, 0.805, 0.250)
Er (0.370, 0.740, 0.539)
Er (0.630, 0.260, 0.039)
Er (0.630, 0.260, 0.461)
Er (0.370, 0.740, 0.961)
Mo (0.838, 0.676, 0.750)
Mo (0.162, 0.324, 0.250)
N (0.262, 0.525, 0.121)
N (0.738, 0.475, 0.621)
N (0.738, 0.475, 0.879)
N (0.262, 0.525, 0.379)
N (0.000, 0.000, 0.500)
N (0.000, 0.000, 0.000)
N (0.440, 0.880, 0.750)
N (0.560, 0.120, 0.250)

Output
Its total energy is -134.73 eV per cell. As for the uncorrected formation energy: -1.168 eV per atom. As for the space group: Cmcm (63).

Entry 8:
## NdErMo2N6 (PBE-GGA)

Data for a relaxed NdErMo2N6 crystal.

a b c (Å): 6.440 7.476 7.476
angles (deg): 80.91 72.28 72.28
Sites, in units of the cell vectors:
Nd (0.250, 0.906, 0.094)
Nd (0.750, 0.094, 0.906)
Er (0.250, 0.291, 0.709)
Er (0.750, 0.709, 0.291)
Mo (0.292, 0.797, 0.623)
Mo (0.208, 0.377, 0.203)
Mo (0.708, 0.203, 0.377)
Mo (0.792, 0.623, 0.797)
N (0.166, 0.002, 0.772)
N (0.334, 0.228, 0.998)
N (0.834, 0.998, 0.228)
N (0.666, 0.772, 0.002)
N (0.354, 0.875, 0.379)
N (0.146, 0.621, 0.125)
N (0.646, 0.125, 0.621)
N (0.854, 0.379, 0.875)
N (0.091, 0.632, 0.667)
N (0.409, 0.333, 0.368)
N (0.909, 0.368, 0.333)
N (0.591, 0.667, 0.632)

Output
Its total energy is -178.96 eV per cell. As for the uncorrected formation energy: -0.853 eV per atom. As for the space group: C2/c (15).